(1)
DFT (PBE) results for a relaxed structure of ScZn3Au2.

Unit cell a=3.544 b=9.192 c=10.138 alpha=97.32 beta=90.00 gamma=101.11
Fractional coordinates of all 18 atoms:
Sc  0.156  0.312  0.733
Sc  0.844  0.688  0.267
Sc  0.000  0.000  0.000
Zn  0.063  0.126  0.350
Zn  0.937  0.874  0.650
Zn  0.219  0.439  0.374
Zn  0.781  0.561  0.626
Zn  0.628  0.255  0.207
Zn  0.372  0.745  0.793
Zn  0.500  0.000  0.500
Zn  0.360  0.721  0.036
Zn  0.640  0.279  0.964
Au  0.227  0.454  0.116
Au  0.773  0.546  0.884
Au  0.473  0.946  0.218
Au  0.527  0.054  0.782
Au  0.356  0.711  0.490
Au  0.644  0.289  0.510

Output
ΔE_f, eV per atom: -0.36
SG: No. 12

=====

(2)
DFT (PBE) results for a relaxed structure of ScZn6Au12.

Unit cell a=7.306 b=7.306 c=7.306 alpha=103.30 beta=103.30 gamma=103.30
Fractional coordinates of all 19 atoms:
Sc  0.000  0.000  0.000
Zn  0.740  0.823  0.563
Zn  0.437  0.260  0.177
Zn  0.177  0.437  0.260
Zn  0.260  0.177  0.437
Zn  0.563  0.740  0.823
Zn  0.823  0.563  0.740
Au  0.818  0.466  0.361
Au  0.361  0.818  0.466
Au  0.466  0.361  0.818
Au  0.182  0.534  0.639
Au  0.639  0.182  0.534
Au  0.534  0.639  0.182
Au  0.972  0.843  0.315
Au  0.157  0.685  0.028
Au  0.685  0.028  0.157
Au  0.028  0.157  0.685
Au  0.843  0.315  0.972
Au  0.315  0.972  0.843

Output
ΔE_f, eV per atom: -0.16
SG: No. 148

=====

(3)
DFT (PBE) results for a relaxed structure of ScZn2Au.

Unit cell a=4.592 b=3.154 c=5.085 alpha=89.84 beta=90.00 gamma=90.00
Fractional coordinates of all 4 atoms:
Au  0.500  0.250  0.250
Sc  0.500  0.750  0.750
Zn  0.000  0.247  0.993
Zn  0.000  0.253  0.507

Output
ΔE_f, eV per atom: -0.37
SG: No. 10

=====

(4)
DFT (PBE) results for a relaxed structure of Sc4ZnAu5.

Unit cell a=3.376 b=3.376 c=16.725 alpha=90.00 beta=90.00 gamma=90.00
Fractional coordinates of all 10 atoms:
Sc  0.000  0.000  0.190
Sc  0.000  0.000  0.397
Sc  0.000  0.000  0.603
Sc  0.000  0.000  0.810
Zn  0.000  0.000  0.000
Au  0.500  0.500  0.092
Au  0.500  0.500  0.296
Au  0.500  0.500  0.500
Au  0.500  0.500  0.704
Au  0.500  0.500  0.908

Output
ΔE_f, eV per atom: -0.71
SG: No. 123

=====

(5)
DFT (PBE) results for a relaxed structure of Sc2ZnAu2.

Unit cell a=4.739 b=4.739 c=6.162 alpha=67.38 beta=67.38 gamma=90.00
Fractional coordinates of all 5 atoms:
Sc  0.750  0.250  0.500
Sc  0.250  0.750  0.500
Zn  0.000  0.000  0.000
Au  0.375  0.375  0.250
Au  0.625  0.625  0.750

Output
ΔE_f, eV per atom: -0.28
SG: No. 139

=====

(6)
DFT (PBE) results for a relaxed structure of ZrScZn2Au.

Unit cell a=4.998 b=4.868 c=4.998 alpha=90.00 beta=90.00 gamma=90.00
Fractional coordinates of all 5 atoms:
Sc  0.000  0.000  0.000
Zn  0.000  0.000  0.500
Zn  0.500  0.000  0.000
Au  0.500  0.500  0.500
Zr  0.000  0.500  0.000

Output
ΔE_f, eV per atom: 0.95
SG: No. 123

=====

(7)
DFT (PBE) results for a relaxed structure of Zr3ScAu.

Unit cell a=5.197 b=5.197 c=5.197 alpha=90.00 beta=90.00 gamma=90.00
Fractional coordinates of all 5 atoms:
Sc  0.500  0.500  0.500
Au  0.000  0.000  0.000
Zr  0.000  0.500  0.000
Zr  0.000  0.000  0.500
Zr  0.500  0.000  0.000

Output
ΔE_f, eV per atom: 0.54
SG: No. 221

=====

(8)
DFT (PBE) results for a relaxed structure of ZrScAu.

Unit cell a=4.382 b=4.382 c=10.663 alpha=90.00 beta=90.00 gamma=120.00
Each line ends with the local moment (μB).
Fractional coordinates of all 6 atoms:
Sc  0.000  0.000  0.250  0.08
Sc  0.000  0.000  0.750  0.08
Au  0.333  0.667  0.250  0.03
Au  0.667  0.333  0.750  0.03
Zr  0.000  0.000  0.000  0.48
Zr  0.000  0.000  0.500  0.51

Output
ΔE_f, eV per atom: 0.95
SG: No. 194

=====

(9)
DFT (PBE) results for a relaxed structure of ZrSc2Au.

Unit cell a=7.852 b=7.852 c=6.305 alpha=51.49 beta=51.49 gamma=90.00
Each line ends with the local moment (μB).
Fractional coordinates of all 8 atoms:
Sc  0.666  0.125  0.250  0.07
Sc  0.084  0.625  0.250  0.07
Sc  0.375  0.334  0.750  0.08
Sc  0.875  0.916  0.750  0.09
Au  0.000  0.000  0.000  0.02
Au  0.750  0.250  0.500  0.02
Zr  0.500  0.500  0.000  0.31
Zr  0.250  0.750  0.500  0.31

Output
ΔE_f, eV per atom: -0.10
SG: No. 122

=====

(10)
DFT (PBE) results for a relaxed structure of ZrScAu.

Unit cell a=3.456 b=7.870 c=4.737 alpha=90.02 beta=90.00 gamma=102.74
Fractional coordinates of all 6 atoms:
Sc  0.325  0.899  0.062
Sc  0.481  0.213  0.562
Au  0.989  0.229  0.062
Au  0.817  0.883  0.562
Zr  0.163  0.576  0.562
Zr  0.643  0.536  0.062

Output
ΔE_f, eV per atom: -0.47
SG: No. 11

=====

(11)
DFT (PBE) results for a relaxed structure of Zr2ScAu6.

Unit cell a=5.056 b=8.954 c=8.954 alpha=121.27 beta=90.20 gamma=90.20
Fractional coordinates of all 18 atoms:
Zr  0.500  0.665  0.835
Zr  0.000  0.165  0.335
Zr  0.500  0.335  0.165
Zr  0.000  0.835  0.665
Sc  0.250  0.250  0.750
Sc  0.750  0.750  0.250
Au  0.502  0.668  0.497
Au  0.998  0.503  0.332
Au  0.498  0.332  0.503
Au  0.002  0.497  0.668
Au  0.246  0.916  0.416
Au  0.254  0.584  0.084
Au  0.754  0.084  0.584
Au  0.746  0.416  0.916
Au  0.998  0.832  0.003
Au  0.502  0.997  0.168
Au  0.002  0.168  0.997
Au  0.498  0.003  0.832

Output
ΔE_f, eV per atom: -0.61
SG: No. 12

=====

(12)
DFT (PBE) results for a relaxed structure of ZrSc2Au.

Unit cell a=5.891 b=5.891 c=5.891 alpha=145.51 beta=130.82 gamma=61.45
Fractional coordinates of all 4 atoms:
Au  0.750  0.250  0.500
Sc  0.976  0.976  0.000
Sc  0.524  0.524  0.000
Zr  0.250  0.750  0.500

Output
ΔE_f, eV per atom: -0.30
SG: No. 71

=====

| no. | density of states at the Fermi level (states/eV per atom) | V (Å³/cell) | total magnetization (μB/atom) |
| --- | --- | --- | --- |
| 1 | 0.3774 | 321.3 | 0.0000 |
| 2 | 0.3345 | 352.4 | 0.0000 |
| 3 | 0.4797 | 73.6 | 0.0000 |
| 4 | 0.4581 | 190.6 | 0.0000 |
| 5 | 0.5410 | 116.1 | 0.0000 |
| 6 | 0.6582 | 121.6 | 0.0000 |
| 7 | 1.1625 | 140.4 | 0.0000 |
| 8 | 1.0152 | 177.3 | 0.2932 |
| 9 | 0.9825 | 184.2 | 0.1797 |
| 10 | 1.6758 | 125.7 | 0.0000 |
| 11 | 0.5027 | 346.5 | 0.0000 |
| 12 | 1.2448 | 86.7 | 0.0001 |